# 1
Entry from Alexandria via LeMat-Bulk: crystalline AlZn3Sb at its relaxed geometry (PBE-GGA).

## Properties
* DOS at the Fermi energy: 3.69 states/eV per cell
* formation energy from raw total energies: 0.4921 eV per atom
* M_tot: 0.00 μB per formula unit
* crystal system: cubic
* distance to the lowest polymorph of the same formula: 0.000 eV/atom

Unit cell a=4.8693 b=4.8693 c=4.8693 alpha=90.00 beta=90.00 gamma=90.00
Fractional positions:
Al 0.0000 0.0000 0.0000
Zn 0.0000 0.0000 0.5000
Zn 0.0000 0.5000 0.0000
Zn 0.5000 0.0000 0.0000
Sb 0.5000 0.5000 0.5000

---

# 2
Entry from Alexandria via LeMat-Bulk: crystalline SrCd7Hg12 at its relaxed geometry (PBE-GGA).

## Properties
* DOS at the Fermi energy: 6.41 states/eV per cell
* M_tot: 0.00 μB per formula unit
* crystal system: cubic
* ΔE_f: 0.031 eV per atom

Unit cell a=9.4680 b=9.4680 c=9.4680 alpha=109.47 beta=109.47 gamma=109.47
Fractional positions:
Sr 0.0000 0.0000 0.0000
Cd 0.0000 0.0000 0.5000
Cd 0.0000 0.5000 0.0000
Cd 0.0000 0.5000 0.5000
Cd 0.5000 0.0000 0.0000
Cd 0.5000 0.0000 0.5000
Cd 0.5000 0.5000 0.0000
Cd 0.5000 0.5000 0.5000
Hg 0.1231 0.2806 0.8424
Hg 0.1576 0.4382 0.2806
Hg 0.1576 0.8769 0.7194
Hg 0.2806 0.1576 0.4382
Hg 0.2806 0.8424 0.1231
Hg 0.4382 0.2806 0.1576
Hg 0.5618 0.7194 0.8424
Hg 0.7194 0.1576 0.8769
Hg 0.7194 0.8424 0.5618
Hg 0.8424 0.1231 0.2806
Hg 0.8424 0.5618 0.7194
Hg 0.8769 0.7194 0.1576

---

# 3
Entry from Alexandria via LeMat-Bulk: crystalline ZnReCl2 at its relaxed geometry (PBE-GGA).

## Properties
* DOS at the Fermi energy: 3.04 states/eV per cell
* formation energy from raw total energies: 0.7484 eV per atom
* M_tot: 2.35 μB per formula unit
* crystal system: tetragonal
* distance to the lowest polymorph of the same formula: 0.768 eV/atom

Unit cell a=3.0425 b=3.0425 c=9.3052 alpha=90.00 beta=90.00 gamma=90.00
Fractional positions:
Zn 0.0000 0.0000 0.0000
Re 0.0000 0.0000 0.5000
Cl 0.5000 0.5000 0.3288
Cl 0.5000 0.5000 0.6712

---

# 4
Entry from Alexandria via LeMat-Bulk: crystalline K2PrS10 at its relaxed geometry (PBE-GGA).

## Properties
* DOS at the Fermi energy: 16.80 states/eV per cell
* formation energy from raw total energies: -0.4754 eV per atom
* M_tot: 0.00 μB per formula unit
* crystal system: orthorhombic

Unit cell a=5.6073 b=25.7475 c=5.5177 alpha=90.00 beta=90.00 gamma=90.00
Fractional positions:
K 0.0018 0.1477 0.0000
K 0.4982 0.6477 0.0000
K 0.5018 0.3523 0.0000
K 0.9982 0.8523 0.0000
Pr 0.0000 0.5000 0.5000
Pr 0.5000 0.0000 0.5000
S 0.0001 0.0397 0.5000
S 0.9999 0.9603 0.5000
S 0.0009 0.4097 0.1844
S 0.0009 0.4097 0.8156
S 0.2302 0.7119 0.5000
S 0.2447 0.7880 0.5000
S 0.2553 0.2880 0.5000
S 0.2698 0.2119 0.5000
S 0.4991 0.9097 0.1844
S 0.4991 0.9097 0.8156
S 0.5001 0.4603 0.5000
S 0.4999 0.5397 0.5000
S 0.5009 0.0903 0.1844
S 0.5009 0.0903 0.8156
S 0.7302 0.7881 0.5000
S 0.7447 0.7120 0.5000
S 0.7553 0.2120 0.5000
S 0.7698 0.2881 0.5000
S 0.9991 0.5903 0.1844
S 0.9991 0.5903 0.8156

---

# 5
Entry from Alexandria via LeMat-Bulk: crystalline MgZnPbCl6 at its relaxed geometry (PBE-GGA).

## Properties
* DOS at the Fermi energy: 0.00 states/eV per cell
* formation energy from raw total energies: -1.3453 eV per atom
* M_tot: 0.00 μB per formula unit
* crystal system: trigonal

Unit cell a=6.5012 b=6.5012 c=12.5621 alpha=90.00 beta=90.00 gamma=120.00
Fractional positions:
Mg 0.3333 0.6667 0.2500
Mg 0.6667 0.3333 0.7500
Zn 0.3333 0.6667 0.7500
Zn 0.6667 0.3333 0.2500
Pb 0.0000 0.0000 0.0000
Pb 0.0000 0.0000 0.5000
Cl 0.0038 0.3674 0.6377
Cl 0.0038 0.6364 0.8623
Cl 0.3636 0.3674 0.8623
Cl 0.3636 0.9962 0.6377
Cl 0.3674 0.0038 0.1377
Cl 0.3674 0.3636 0.3623
Cl 0.6326 0.6364 0.6377
Cl 0.6326 0.9962 0.8623
Cl 0.6364 0.0038 0.3623
Cl 0.6364 0.6326 0.1377
Cl 0.9962 0.3636 0.1377
Cl 0.9962 0.6326 0.3623

---

# 6
Entry from Alexandria via LeMat-Bulk: crystalline Ag2Ru at its relaxed geometry (PBE-GGA).

## Properties
* DOS at the Fermi energy: 11.63 states/eV per cell
* M_tot: 0.96 μB per formula unit
* crystal system: hexagonal
* ΔE_f: 0.633 eV per atom
* distance to the lowest polymorph of the same formula: 0.279 eV/atom

Unit cell a=8.0566 b=8.0566 c=2.6814 alpha=90.00 beta=90.00 gamma=120.00
Fractional positions:
Ag 0.0000 0.3069 0.0000
Ag 0.0000 0.6397 0.5000
Ag 0.3069 0.0000 0.0000
Ag 0.3603 0.3603 0.5000
Ag 0.6397 0.0000 0.5000
Ag 0.6931 0.6931 0.0000
Ru 0.0000 0.0000 0.5000
Ru 0.3333 0.6667 0.0000
Ru 0.6667 0.3333 0.0000